# 1
## Ca2ErAs3Rh4 (PBE)

Data for a relaxed structure of Ca2ErAs3Rh4.

Structure (POSCAR):
```
Ca2ErAs3Rh4
1.0
4.129 0.000 0.000
0.000 4.129 0.000
0.000 0.000 11.243
Ca Er As Rh
2 1 3 4
Cartesian
0.000 2.064 2.586
2.064 0.000 8.657
0.000 0.000 5.621
0.000 2.064 9.807
2.064 0.000 1.436
2.064 2.064 5.621
0.000 0.000 0.000
0.000 2.064 7.401
2.064 0.000 3.842
2.064 2.064 0.000
```

Results
**Formation enthalpy at 0 K**: -0.867 eV/atom
**Total moment**: 0.00 μB per cell
**VASP energy**: -60.59 eV per cell
**D(E_F)**: 4.2 states/eV per cell
**Symmetry**: P-4m2 (115)

# 2
## LaPuCdPd (PBE)

Data for a relaxed structure of LaPuCdPd.

Structure (POSCAR):
```
LaPuCdPd
1.0
0.000 3.737 3.737
3.737 0.000 3.737
3.737 3.737 0.000
La Pu Cd Pd
1 1 1 1
Cartesian
0.000 0.000 0.000
3.737 3.737 3.737
1.869 1.869 1.869
5.606 5.606 5.606
```

Results
**Formation enthalpy at 0 K**: -0.271 eV/atom
**Total moment**: 5.88 μB per cell
**VASP energy**: -26.45 eV per cell
**D(E_F)**: 11.7 states/eV per cell
**Symmetry**: F-43m (216)